(1)
DFT (PBE) results for a relaxed structure of K3YU2Te6.

a b c (Å): 7.796 7.796 8.689
angles (deg): 98.60 98.60 120.00
Atoms (fractional coordinates):
K: 0.000 0.000 0.000
K: 0.333 0.667 0.000
K: 0.667 0.333 0.000
Y: 0.500 0.500 0.500
U: 0.167 0.833 0.500
U: 0.833 0.167 0.500
Te: 0.098 0.430 0.289
Te: 0.239 0.239 0.711
Te: 0.430 0.098 0.289
Te: 0.570 0.902 0.711
Te: 0.761 0.761 0.289
Te: 0.902 0.570 0.711

## Properties
E_form (uncorrected) ... -1027 meV/atom
Final energy ... -5.29 eV/atom
Fermi-level density of states ... 13.52 states/eV/cell
Magnetization ... 6.01 Bohr magnetons per cell


(2)
DFT (PBE) results for a relaxed structure of KTeC3.

a b c (Å): 4.372 4.372 4.372
angles (deg): 90.00 90.00 90.00
Atoms (fractional coordinates):
K: 0.000 0.000 0.000
Te: 0.500 0.500 0.500
C: 0.000 0.500 0.500
C: 0.500 0.000 0.500
C: 0.500 0.500 0.000

## Properties
E_form (uncorrected) ... 2634 meV/atom
Final energy ... -3.75 eV/atom
Fermi-level density of states ... 5.07 states/eV/cell
Energy relative to the lowest polymorph listed for this composition ... 0 meV per atom
Magnetization ... 0.00 Bohr magnetons per cell


Which value of final energy does entry 1 give?
-5.29 eV/atom